# CaTe3Pt, relaxed, DFT GGA-PBE
data_CaTe3Pt
_cell_length_a 5.680
_cell_length_b 5.680
_cell_length_c 5.680
_cell_angle_alpha 90.00
_cell_angle_beta 90.00
_cell_angle_gamma 90.00
_symmetry_space_group_name_H-M 'P m -3 m'
_symmetry_Int_Tables_number 221
_symmetry_space_group_name_Hall '-P 4 2 3'
loop_
_atom_site_label
_atom_site_type_symbol
_atom_site_fract_x
_atom_site_fract_y
_atom_site_fract_z
Ca1 Ca 0.000 0.000 0.000
Te1 Te 0.000 0.000 0.500
Pt1 Pt 0.500 0.500 0.500
# E above lowest polymorph	1.109	eV/atom
# formation energy without anion corrections	0.78	eV/atom
# DFT total energy	-2.7131	eV per atom


# LaTl2IrPb, relaxed, DFT GGA-PBE
data_LaTl2IrPb
_cell_length_a 5.551
_cell_length_b 5.551
_cell_length_c 6.298
_cell_angle_alpha 90.00
_cell_angle_beta 90.00
_cell_angle_gamma 90.00
_symmetry_space_group_name_H-M 'P 4/m m m'
_symmetry_Int_Tables_number 123
_symmetry_space_group_name_Hall '-P 4 2'
loop_
_atom_site_label
_atom_site_type_symbol
_atom_site_fract_x
_atom_site_fract_y
_atom_site_fract_z
La1 La 0.000 0.000 0.000
Tl1 Tl 0.000 0.500 0.500
Ir1 Ir 0.500 0.500 0.000
Pb1 Pb 0.000 0.000 0.500
# formation energy	5.7	eV/f.u.
# E above lowest polymorph	1.325	eV/atom
# DFT total energy	-3.3147	eV per atom


# Na2Ge4Pd, relaxed, DFT GGA-PBE
data_Na2Ge4Pd
_cell_length_a 3.943
_cell_length_b 23.496
_cell_length_c 3.912
_cell_angle_alpha 90.00
_cell_angle_beta 90.00
_cell_angle_gamma 90.00
_symmetry_space_group_name_H-M 'C m m m'
_symmetry_Int_Tables_number 65
_symmetry_space_group_name_Hall '-C 2 2'
loop_
_atom_site_label
_atom_site_type_symbol
_atom_site_fract_x
_atom_site_fract_y
_atom_site_fract_z
Na1 Na 0.000 0.177 0.000
Ge1 Ge 0.000 0.073 0.500
Ge2 Ge 0.000 0.425 0.000
Pd1 Pd 0.000 0.500 0.500
# formation energy	-0.1	eV/f.u.
# DFT total energy	-3.7778	eV per atom


# CsDyZn2F8, relaxed, DFT GGA-PBE
data_CsDyZn2F8
_cell_length_a 5.4562
_cell_length_b 5.4562
_cell_length_c 26.7623
_cell_angle_alpha 90.00
_cell_angle_beta 90.00
_cell_angle_gamma 120.00
_symmetry_space_group_name_H-M 'R 3 2'
_symmetry_Int_Tables_number 155
_symmetry_space_group_name_Hall 'R 3 2"'
loop_
_atom_site_label
_atom_site_type_symbol
_atom_site_fract_x
_atom_site_fract_y
_atom_site_fract_z
Cs1 Cs 0.0000 0.0000 0.0000
Dy1 Dy 0.0000 0.0000 0.5000
Zn1 Zn 0.0000 0.0000 0.2489
F1 F 0.0000 0.0000 0.3183
F2 F 0.0079 0.3681 0.1150
# formation energy without anion corrections	-2.94	eV/atom
# DFT total energy	-4.8530	eV per atom


# Mn2GaHPt, relaxed, DFT GGA-PBE
data_Mn2GaHPt
_cell_length_a 3.867
_cell_length_b 3.867
_cell_length_c 3.909
_cell_angle_alpha 90.00
_cell_angle_beta 90.00
_cell_angle_gamma 90.00
_symmetry_space_group_name_H-M 'P 4/m m m'
_symmetry_Int_Tables_number 123
_symmetry_space_group_name_Hall '-P 4 2'
loop_
_atom_site_label
_atom_site_type_symbol
_atom_site_fract_x
_atom_site_fract_y
_atom_site_fract_z
Mn1 Mn 0.000 0.500 0.000
Ga1 Ga 0.000 0.000 0.500
H1 H 0.500 0.500 0.000
Pt1 Pt 0.500 0.500 0.500
# E above lowest polymorph	0.000	eV/atom
# DFT total energy	-6.3593	eV per atom


# La2BeTlC, relaxed, DFT GGA-PBE
data_La2BeTlC
_cell_length_a 5.624
_cell_length_b 5.624
_cell_length_c 3.514
_cell_angle_alpha 90.00
_cell_angle_beta 90.00
_cell_angle_gamma 90.00
_symmetry_space_group_name_H-M 'P 4/m m m'
_symmetry_Int_Tables_number 123
_symmetry_space_group_name_Hall '-P 4 2'
loop_
_atom_site_label
_atom_site_type_symbol
_atom_site_fract_x
_atom_site_fract_y
_atom_site_fract_z
La1 La 0.000 0.500 0.000
Be1 Be 0.000 0.000 0.500
Tl1 Tl 0.500 0.500 0.500
C1 C 0.000 0.000 0.000
# formation energy	-0.8	eV/f.u.
# DFT total energy	-5.1989	eV per atom


# Pm2Dy5Tm2, relaxed, DFT GGA-PBE
data_Pm2Dy5Tm2
_cell_length_a 16.439
_cell_length_b 5.748
_cell_length_c 6.332
_cell_angle_alpha 90.00
_cell_angle_beta 105.21
_cell_angle_gamma 90.00
_symmetry_space_group_name_H-M 'C 1 2/m 1'
_symmetry_Int_Tables_number 12
loop_
_symmetry_equiv_pos_as_xyz
'x,y,z'
'-x,-y,-z'
'-x,y,-z'
'x,-y,z'
'x+1/2,y+1/2,z'
'-x+1/2,-y+1/2,-z'
'-x+1/2,y+1/2,-z'
'x+1/2,-y+1/2,z'
loop_
_atom_site_label
_atom_site_type_symbol
_atom_site_fract_x
_atom_site_fract_y
_atom_site_fract_z
Pm1 Pm 0.064 0.000 0.288
Dy1 Dy 0.000 0.500 0.500
Dy2 Dy 0.181 0.000 0.861
Dy3 Dy 0.209 0.500 0.572
Tm1 Tm 0.102 0.500 0.022
# formation energy	1.0	eV/f.u.
# E above lowest polymorph	0.000	eV/atom
# DFT total energy	-4.4970	eV per atom


# Ac2InPd5, relaxed, DFT GGA-PBE
data_Ac2InPd5
_cell_length_a 7.622
_cell_length_b 6.788
_cell_length_c 14.330
_cell_angle_alpha 90.00
_cell_angle_beta 90.00
_cell_angle_gamma 90.00
_symmetry_space_group_name_H-M 'P n m a'
_symmetry_Int_Tables_number 62
loop_
_symmetry_equiv_pos_as_xyz
'x,y,z'
'-x,-y,-z'
'-x+1/2,-y,z+1/2'
'x+1/2,y,-z+1/2'
'x+1/2,-y+1/2,-z+1/2'
'-x+1/2,y+1/2,z+1/2'
'-x,y+1/2,-z'
'x,-y+1/2,z'
loop_
_atom_site_label
_atom_site_type_symbol
_atom_site_fract_x
_atom_site_fract_y
_atom_site_fract_z
Ac1 Ac 0.029 0.250 0.192
Ac2 Ac 0.178 0.750 0.420
In1 In 0.163 0.750 0.118
Pd1 Pd 0.000 0.000 0.000
Pd2 Pd 0.087 0.250 0.753
Pd3 Pd 0.111 0.555 0.619
Pd4 Pd 0.197 0.250 0.437
# formation energy	-5.6	eV/f.u.
# DFT total energy	-5.3151	eV per atom